1.
A plane-wave DFT calculation with PBE was carried out for crystalline Tl6Sn7 at its relaxed geometry.

For the density of states at the Fermi level, the calculation gives 6.90 states/eV/f.u. The energy relative to the elements comes out at 27 meV/atom. The uncorrected energy comes out at -3.220 eV/atom.

Unit cell a=6.389 b=6.389 c=11.790 alpha=74.28 beta=74.28 gamma=60.00
Atoms (fractional coordinates):
Tl1 0.836 0.836 0.493
Tl2 0.164 0.164 0.507
Tl3 0.651 0.651 0.047
Tl4 0.349 0.349 0.953
Tl5 0.548 0.548 0.356
Tl6 0.452 0.452 0.644
Sn1 0.000 0.000 0.000
Sn2 0.908 0.415 0.769
Sn3 0.415 0.908 0.769
Sn4 0.908 0.908 0.769
Sn5 0.092 0.092 0.231
Sn6 0.092 0.585 0.231
Sn7 0.585 0.092 0.231

2.
A plane-wave DFT calculation with PBE was carried out for crystalline Tl8Sn3 at its relaxed geometry.

For the density of states at the Fermi level, the calculation gives 4.16 states/eV/f.u. The energy relative to the elements comes out at 136 meV/atom. The uncorrected energy comes out at -2.676 eV/atom.

Unit cell a=7.150 b=7.150 c=7.150 alpha=88.50 beta=88.50 gamma=88.50
Atoms (fractional coordinates):
Tl1 0.691 0.110 0.872
Tl2 0.872 0.691 0.110
Tl3 0.110 0.872 0.691
Tl4 0.622 0.622 0.622
Tl5 0.378 0.378 0.378
Tl6 0.890 0.128 0.309
Tl7 0.128 0.309 0.890
Tl8 0.309 0.890 0.128
Sn1 0.000 0.500 0.500
Sn2 0.500 0.000 0.500
Sn3 0.500 0.500 0.000

3.
A plane-wave DFT calculation with PBE was carried out for crystalline Tl4Sn3 at its relaxed geometry.

The polymorph energy (0 for the lowest one) comes out at 0 meV/atom. For the density of states at the Fermi level, the calculation gives 2.81 states/eV/f.u. The energy relative to the elements comes out at 22 meV/atom. The uncorrected energy comes out at -3.045 eV/atom.

Unit cell a=3.516 b=4.449 c=13.694 alpha=99.35 beta=97.38 gamma=90.00
Atoms (fractional coordinates):
Tl1 0.854 0.854 0.708
Tl2 0.146 0.146 0.292
Tl3 0.567 0.567 0.135
Tl4 0.433 0.433 0.865
Sn1 0.000 0.000 0.000
Sn2 0.721 0.721 0.442
Sn3 0.279 0.279 0.558

4.
A plane-wave DFT calculation with PBE was carried out for crystalline TlSn2 at its relaxed geometry.

The polymorph energy (0 for the lowest one) comes out at 0 meV/atom. For the density of states at the Fermi level, the calculation gives 0.77 states/eV/f.u. The energy relative to the elements comes out at 25 meV/atom. The uncorrected energy comes out at -3.432 eV/atom.

Unit cell a=3.489 b=3.489 c=7.589 alpha=103.29 beta=103.29 gamma=90.00
Atoms (fractional coordinates):
Tl1 0.000 0.000 0.000
Sn1 0.676 0.676 0.351
Sn2 0.324 0.324 0.649

5.
A plane-wave DFT calculation with PBE was carried out for crystalline Tl3Sn2 at its relaxed geometry.

The polymorph energy (0 for the lowest one) comes out at 119 meV/atom. For the density of states at the Fermi level, the calculation gives 2.98 states/eV/f.u. The energy relative to the elements comes out at 137 meV/atom. The uncorrected energy comes out at -2.884 eV/atom.

Unit cell a=6.651 b=6.651 c=9.179 alpha=68.76 beta=68.76 gamma=60.00
Atoms (fractional coordinates):
Tl1 0.248 0.750 0.750
Tl2 0.750 0.252 0.750
Tl3 0.252 0.248 0.750
Tl4 0.250 0.748 0.250
Tl5 0.748 0.752 0.250
Tl6 0.752 0.250 0.250
Sn1 0.809 0.809 0.572
Sn2 0.309 0.309 0.072
Sn3 0.191 0.191 0.428
Sn4 0.691 0.691 0.928

6.
A plane-wave DFT calculation with PBE was carried out for crystalline Tl6Sn at its relaxed geometry.

The polymorph energy (0 for the lowest one) comes out at 490 meV/atom. For the density of states at the Fermi level, the calculation gives 4.69 states/eV/f.u. The energy relative to the elements comes out at 550 meV/atom. The uncorrected energy comes out at -2.050 eV/atom.

Unit cell a=7.332 b=7.332 c=7.332 alpha=109.47 beta=109.47 gamma=109.47
Atoms (fractional coordinates):
Tl1 0.250 0.750 0.500
Tl2 0.500 0.750 0.250
Tl3 0.250 0.500 0.750
Tl4 0.750 0.250 0.500
Tl5 0.500 0.250 0.750
Tl6 0.750 0.500 0.250
Sn1 0.000 0.000 0.000

7.
A plane-wave DFT calculation with PBE was carried out for crystalline Tl4Sn at its relaxed geometry.

The polymorph energy (0 for the lowest one) comes out at 4 meV/atom. For the density of states at the Fermi level, the calculation gives 2.15 states/eV/f.u. The energy relative to the elements comes out at 22 meV/atom. The uncorrected energy comes out at -2.672 eV/atom.

Unit cell a=3.340 b=5.228 c=9.159 alpha=106.58 beta=100.51 gamma=90.00
Atoms (fractional coordinates):
Tl1 0.598 0.598 0.196
Tl2 0.199 0.199 0.398
Tl3 0.801 0.801 0.602
Tl4 0.402 0.402 0.804
Sn1 0.000 0.000 0.000

8.
A plane-wave DFT calculation with PBE was carried out for crystalline TlSn4 at its relaxed geometry.

The polymorph energy (0 for the lowest one) comes out at 638 meV/atom. For the density of states at the Fermi level, the calculation gives 3.33 states/eV/f.u. The energy relative to the elements comes out at 691 meV/atom. The uncorrected energy comes out at -2.984 eV/atom.

Unit cell a=5.673 b=5.673 c=5.673 alpha=90.00 beta=90.00 gamma=90.00
Atoms (fractional coordinates):
Tl1 0.500 0.500 0.500
Sn1 0.000 0.000 0.000
Sn2 0.500 0.000 0.500
Sn3 0.000 0.500 0.500
Sn4 0.500 0.500 0.000